Record 1
{"formula": "NbTe3O9", "functional": "PBE", "state": "relaxed", "cell": [[-1.083, -5.095, 4.808], [6.359, -6.731, -0.476], [4.684, -0.011, 6.269]], "species": ["O", "O", "O", "O", "O", "O", "O", "O", "O", "O", "O", "O", "O", "O", "O", "O", "O", "O", "Nb", "Nb", "Te", "Te", "Te", "Te", "Te", "Te"], "fractional_positions": [[0.695, 0.568, 0.487], [0.713, 0.309, 0.776], [0.954, 0.322, 0.145], [0.450, 0.496, 0.288], [0.497, 0.913, 0.293], [0.820, 0.029, 0.272], [0.185, 0.043, 0.632], [0.721, 0.681, 0.086], [0.580, 0.822, 0.645], [0.297, 0.413, 0.793], [0.250, 0.068, 0.987], [0.512, 0.181, 0.586], [0.141, 0.543, 0.132], [0.879, 0.529, 0.772], [0.371, 0.228, 0.272], [0.201, 0.809, 0.276], [0.128, 0.728, 0.772], [0.766, 0.996, 0.788], [0.516, 0.010, 0.471], [0.002, 0.510, 0.971], [0.081, 0.049, 0.265], [0.605, 0.549, 0.765], [0.018, 0.916, 0.865], [0.201, 0.416, 0.365], [0.480, 0.692, 0.327], [0.502, 0.192, 0.827]], "dft_energy_ev_per_atom": -6.246, "sg": "Cc, No. 9"}

---

Record 2
{"formula": "NbTeO6", "functional": "PBE", "state": "relaxed", "cell": [[5.158, 0.000, 0.000], [-2.579, 4.467, 0.000], [0.000, 0.000, 9.190]], "species": ["O", "O", "O", "O", "O", "O", "O", "O", "O", "O", "O", "O", "Nb", "Nb", "Te", "Te"], "fractional_positions": [[0.275, 0.331, 0.380], [0.725, 0.669, 0.620], [0.275, 0.944, 0.120], [0.331, 0.275, 0.880], [0.725, 0.056, 0.880], [0.944, 0.275, 0.620], [0.944, 0.669, 0.880], [0.056, 0.725, 0.380], [0.331, 0.056, 0.620], [0.669, 0.944, 0.380], [0.056, 0.331, 0.120], [0.669, 0.725, 0.120], [0.667, 0.333, 0.750], [0.333, 0.667, 0.250], [0.000, 0.000, 0.500], [0.000, 0.000, 0.000]], "relative_energy_ev_per_atom": 0.026, "sg": "P-31c, No. 163"}

---

no.,density of states at the Fermi level (states/eV per cell),calculated density (g/cm3),size of the total moment (μB/atom)
1,6.3,5.0,0.00
2,8.9,5.0,0.13